[1]
Entry from Alexandria via LeMat-Bulk: a PBEsol-optimized structure of In3AgS (SCAN).

Final energy   -140.3 eV per cell
Raw formation energy   168.1 meV per atom

```
data_In3AgS
_space_group_name_H-M_alt 'P m -3 m'
_space_group_IT_number 221
_space_group_name_Hall '-P 4 2 3'
_cell_length_a 5.135
_cell_length_b 5.135
_cell_length_c 5.135
_cell_angle_alpha 90.00
_cell_angle_beta 90.00
_cell_angle_gamma 90.00
loop_
_atom_site_label
_atom_site_fract_x
_atom_site_fract_y
_atom_site_fract_z
_atom_site_occupancy
In1 0.000 0.000 0.500 1
Ag1 0.000 0.000 0.000 1
S1 0.500 0.500 0.500 1
```

[2]
Entry from Alexandria via LeMat-Bulk: a PBEsol-optimized structure of BeIr2Pb (SCAN).

Final energy   -442.3 eV per cell
Calculated formation energy   0.2982 eV per atom

```
data_BeIr2Pb
_space_group_name_H-M_alt 'I m m m'
_space_group_IT_number 71
_space_group_name_Hall '-I 2 2'
_cell_length_a 2.898
_cell_length_b 4.770
_cell_length_c 8.637
_cell_angle_alpha 90.00
_cell_angle_beta 90.00
_cell_angle_gamma 90.00
loop_
_atom_site_label
_atom_site_fract_x
_atom_site_fract_y
_atom_site_fract_z
_atom_site_occupancy
Be1 0.000 0.000 0.000 1
Ir1 0.000 0.500 0.288 1
Pb1 0.000 0.000 0.500 1
```

[3]
Entry from Alexandria via LeMat-Bulk: a PBEsol-optimized structure of AlAuBr3 (SCAN).

Final energy   -135.5 eV per cell
Raw formation energy   -33.5 meV per atom

```
data_AlAuBr3
_space_group_name_H-M_alt 'P m -3 m'
_space_group_IT_number 221
_space_group_name_Hall '-P 4 2 3'
_cell_length_a 5.217
_cell_length_b 5.217
_cell_length_c 5.217
_cell_angle_alpha 90.00
_cell_angle_beta 90.00
_cell_angle_gamma 90.00
loop_
_atom_site_label
_atom_site_fract_x
_atom_site_fract_y
_atom_site_fract_z
_atom_site_occupancy
Al1 0.000 0.000 0.000 1
Au1 0.500 0.500 0.500 1
Br1 0.000 0.500 0.500 1
```

[4]
Entry from Alexandria via LeMat-Bulk: a PBEsol-optimized structure of CeSm3 (SCAN).

Final energy   -177.6 eV per cell
Calculated formation energy   0.0627 eV per atom

```
data_CeSm3
_space_group_name_H-M_alt 'P m -3 m'
_space_group_IT_number 221
_space_group_name_Hall '-P 4 2 3'
_cell_length_a 4.951
_cell_length_b 4.951
_cell_length_c 4.951
_cell_angle_alpha 90.00
_cell_angle_beta 90.00
_cell_angle_gamma 90.00
loop_
_atom_site_label
_atom_site_fract_x
_atom_site_fract_y
_atom_site_fract_z
_atom_site_occupancy
Ce1 0.000 0.000 0.000 1
Sm1 0.000 0.500 0.500 1
```

[5]
Entry from Alexandria via LeMat-Bulk: a PBEsol-optimized structure of Tb6GaCo2 (SCAN).

Final energy   -1335.4 eV per cell
Calculated formation energy   -0.2573 eV per atom

```
data_Tb6GaCo2
_space_group_name_H-M_alt 'I m m m'
_space_group_IT_number 71
_space_group_name_Hall '-I 2 2'
_cell_length_a 9.109
_cell_length_b 9.409
_cell_length_c 9.707
_cell_angle_alpha 90.00
_cell_angle_beta 90.00
_cell_angle_gamma 90.00
loop_
_atom_site_label
_atom_site_fract_x
_atom_site_fract_y
_atom_site_fract_z
_atom_site_occupancy
Tb1 0.000 0.197 0.238 1
Tb2 0.188 0.500 0.174 1
Tb3 0.219 0.319 0.500 1
Ga1 0.000 0.000 0.000 1
Ga2 0.000 0.000 0.500 1
Co1 0.000 0.337 0.000 1
Co2 0.000 0.500 0.386 1
```

[6]
Entry from Alexandria via LeMat-Bulk: a PBEsol-optimized structure of LaTaAs2Br (SCAN).

Final energy   -172.3 eV per cell
Raw formation energy   -553.6 meV per atom

```
data_LaTaAs2Br
_space_group_name_H-M_alt 'P 4/m m m'
_space_group_IT_number 123
_space_group_name_Hall '-P 4 2'
_cell_length_a 4.979
_cell_length_b 4.979
_cell_length_c 4.982
_cell_angle_alpha 90.00
_cell_angle_beta 90.00
_cell_angle_gamma 90.00
loop_
_atom_site_label
_atom_site_fract_x
_atom_site_fract_y
_atom_site_fract_z
_atom_site_occupancy
La1 0.000 0.000 0.000 1
Ta1 0.500 0.500 0.500 1
As1 0.000 0.500 0.500 1
Br1 0.500 0.500 0.000 1
```

[7]
Entry from Alexandria via LeMat-Bulk: a PBEsol-optimized structure of FeReS3 (SCAN).

Final energy   -112.3 eV per cell
Raw formation energy   1165.6 meV per atom

```
data_FeReS3
_space_group_name_H-M_alt 'P m -3 m'
_space_group_IT_number 221
_space_group_name_Hall '-P 4 2 3'
_cell_length_a 4.217
_cell_length_b 4.217
_cell_length_c 4.217
_cell_angle_alpha 90.00
_cell_angle_beta 90.00
_cell_angle_gamma 90.00
loop_
_atom_site_label
_atom_site_fract_x
_atom_site_fract_y
_atom_site_fract_z
_atom_site_occupancy
Fe1 0.000 0.000 0.000 1
Re1 0.500 0.500 0.500 1
S1 0.000 0.000 0.500 1
```

[8]
Entry from Alexandria via LeMat-Bulk: a PBEsol-optimized structure of In2RhCl (SCAN).

Final energy   -331.0 eV per cell
Raw formation energy   -448.8 meV per atom

```
data_In2RhCl
_space_group_name_H-M_alt 'R -3 m'
_space_group_IT_number 166
_space_group_name_Hall '-R 3 2"'
_cell_length_a 3.4017
_cell_length_b 3.4017
_cell_length_c 23.9713
_cell_angle_alpha 90.00
_cell_angle_beta 90.00
_cell_angle_gamma 120.00
loop_
_atom_site_label
_atom_site_fract_x
_atom_site_fract_y
_atom_site_fract_z
_atom_site_occupancy
In1 0.0000 0.0000 0.2411 1
Rh1 0.0000 0.0000 0.5000 1
Cl1 0.0000 0.0000 0.0000 1
```

[9]
Entry from Alexandria via LeMat-Bulk: a PBEsol-optimized structure of La3SiMo (SCAN).

Final energy   -173.3 eV per cell
Raw formation energy   173.2 meV per atom

```
data_La3SiMo
_space_group_name_H-M_alt 'P m -3 m'
_space_group_IT_number 221
_space_group_name_Hall '-P 4 2 3'
_cell_length_a 5.284
_cell_length_b 5.284
_cell_length_c 5.284
_cell_angle_alpha 90.00
_cell_angle_beta 90.00
_cell_angle_gamma 90.00
loop_
_atom_site_label
_atom_site_fract_x
_atom_site_fract_y
_atom_site_fract_z
_atom_site_occupancy
La1 0.000 0.000 0.500 1
Si1 0.500 0.500 0.500 1
Mo1 0.000 0.000 0.000 1
```

[10]
Entry from Alexandria via LeMat-Bulk: a PBEsol-optimized structure of Zr2HgCl (SCAN).

Final energy   -139.9 eV per cell
Raw formation energy   -587.9 meV per atom

```
data_Zr2HgCl
_space_group_name_H-M_alt 'P 4 m m'
_space_group_IT_number 99
_cell_length_a 3.128
_cell_length_b 3.128
_cell_length_c 8.974
_cell_angle_alpha 90.00
_cell_angle_beta 90.00
_cell_angle_gamma 90.00
loop_
_space_group_symop_operation_xyz
'x,y,z'
'-y,x,z'
'-x,-y,z'
'y,-x,z'
'-x,y,z'
'y,x,z'
'x,-y,z'
'-y,-x,z'
loop_
_atom_site_label
_atom_site_fract_x
_atom_site_fract_y
_atom_site_fract_z
_atom_site_occupancy
Zr1 0.000 0.000 0.000 1
Zr2 0.500 0.500 0.258 1
Hg1 0.500 0.500 0.769 1
Cl1 0.000 0.000 0.433 1
```

[11]
Entry from Alexandria via LeMat-Bulk: a PBEsol-optimized structure of Al2InMo (SCAN).

Final energy   -166.7 eV per cell
Calculated formation energy   0.1105 eV per atom

```
data_Al2InMo
_space_group_name_H-M_alt 'C m m m'
_space_group_IT_number 65
_space_group_name_Hall '-C 2 2'
_cell_length_a 5.668
_cell_length_b 8.185
_cell_length_c 2.877
_cell_angle_alpha 90.00
_cell_angle_beta 90.00
_cell_angle_gamma 90.00
loop_
_atom_site_label
_atom_site_fract_x
_atom_site_fract_y
_atom_site_fract_z
_atom_site_occupancy
Al1 0.250 0.250 0.000 1
In1 0.000 0.000 0.500 1
Mo1 0.000 0.500 0.500 1
```

[12]
Entry from Alexandria via LeMat-Bulk: a PBEsol-optimized structure of Ir3Se (SCAN).

Final energy   -461.5 eV per cell
Raw formation energy   655.2 meV per atom

```
data_Ir3Se
_space_group_name_H-M_alt 'I 4/m m m'
_space_group_IT_number 139
_space_group_name_Hall '-I 4 2'
_cell_length_a 3.979
_cell_length_b 3.979
_cell_length_c 7.472
_cell_angle_alpha 90.00
_cell_angle_beta 90.00
_cell_angle_gamma 90.00
loop_
_atom_site_label
_atom_site_fract_x
_atom_site_fract_y
_atom_site_fract_z
_atom_site_occupancy
Ir1 0.000 0.000 0.000 1
Ir2 0.000 0.500 0.250 1
Se1 0.000 0.000 0.500 1
```

[13]
Entry from Alexandria via LeMat-Bulk: a PBEsol-optimized structure of InB3Te (SCAN).

Final energy   -82.3 eV per cell
Raw formation energy   2130.7 meV per atom

```
data_InB3Te
_space_group_name_H-M_alt 'P m -3 m'
_space_group_IT_number 221
_space_group_name_Hall '-P 4 2 3'
_cell_length_a 4.451
_cell_length_b 4.451
_cell_length_c 4.451
_cell_angle_alpha 90.00
_cell_angle_beta 90.00
_cell_angle_gamma 90.00
loop_
_atom_site_label
_atom_site_fract_x
_atom_site_fract_y
_atom_site_fract_z
_atom_site_occupancy
In1 0.000 0.000 0.000 1
B1 0.000 0.500 0.500 1
Te1 0.500 0.500 0.500 1
```

[14]
Entry from Alexandria via LeMat-Bulk: a PBEsol-optimized structure of Ta2AuSe (SCAN).

Final energy   -223.0 eV per cell
Raw formation energy   -158.7 meV per atom

```
data_Ta2AuSe
_space_group_name_H-M_alt 'P 4/m m m'
_space_group_IT_number 123
_space_group_name_Hall '-P 4 2'
_cell_length_a 3.055
_cell_length_b 3.055
_cell_length_c 7.097
_cell_angle_alpha 90.00
_cell_angle_beta 90.00
_cell_angle_gamma 90.00
loop_
_atom_site_label
_atom_site_fract_x
_atom_site_fract_y
_atom_site_fract_z
_atom_site_occupancy
Ta1 0.000 0.000 0.230 1
Au1 0.500 0.500 0.500 1
Se1 0.500 0.500 0.000 1
```